AcCoMo2O8: relaxed, GGA+U.

## Properties
total DFT energy (no corrections) = -0.522 Ry per atom

```
AcCoMo2O8
1.0
5.908 0.000 0.000
-2.954 5.117 0.000
0.000 0.000 6.608
Ac Co Mo O
1 1 2 8
direct
0.000 0.000 0.500 Ac
0.000 0.000 0.000 Co
0.333 0.667 0.727 Mo
0.667 0.333 0.273 Mo
0.162 0.324 0.800 O
0.162 0.838 0.800 O
0.676 0.838 0.800 O
0.324 0.162 0.200 O
0.667 0.333 0.542 O
0.333 0.667 0.458 O
0.838 0.676 0.200 O
0.838 0.162 0.200 O
```